The following is a DFT calculation (GGA-PBE) of a relaxed Ho2MnZn crystal.

E above lowest polymorph in meV/atom: 544

Geometry as CIF:
```
data_Ho2MnZn
_symmetry_space_group_name_H-M 'P 1'
_symmetry_Int_Tables_number 1
_symmetry_space_group_name_Hall 'P 1'
_cell_length_a 10.6525
_cell_length_b 10.6525
_cell_length_c 10.6525
_cell_angle_alpha 17.73
_cell_angle_beta 17.73
_cell_angle_gamma 17.73
loop_
_atom_site_label
_atom_site_type_symbol
_atom_site_fract_x
_atom_site_fract_y
_atom_site_fract_z
Ho1 Ho 0.0918 0.0918 0.0918
Ho2 Ho 0.9082 0.9082 0.9082
Mn1 Mn 0.0000 0.0000 0.0000
Zn1 Zn 0.5000 0.5000 0.5000
```